DFT (GGA+U) results for a geometry-optimized PaCrCdO6 structure.

a b c (Å): 5.3336 5.3336 4.7744
angles (deg): 90.00 90.00 120.00
Space group P312 (No. 149)
Symmetry-distinct sites (fractional):
Pa1 0.0000 0.0000 0.0000 [1 per cell]
Cr1 0.6667 0.3333 0.5000 [1 per cell]
Cd1 0.3333 0.6667 0.5000 [1 per cell]
O1 0.3583 0.0476 0.7354 [6 per cell]

## Properties
**Total DFT energy (no corrections)**: -7.277 eV per atom
**Spin magnetization**: 1.0 μB per formula unit
**Crystal system**: trigonal